1.
# GGA-PBEsol KTl2MoF6, relaxed
data_KTl2MoF6
_chemical_formula_sum 'K1 Tl2 Mo1 F6'
_space_group_name_H-M_alt 'P 1'
_space_group_IT_number 1
_cell_length_a 6.3529
_cell_length_b 6.3529
_cell_length_c 6.3529
_cell_angle_alpha 60.00
_cell_angle_beta 60.00
_cell_angle_gamma 60.00
loop_
_space_group_symop_operation_xyz
'x,y,z'
loop_
_atom_site_label
_atom_site_fract_x
_atom_site_fract_y
_atom_site_fract_z
_atom_site_occupancy
K1 0.0000 0.0000 0.0000 1
Tl1 0.2500 0.2500 0.2500 1
Tl2 0.7500 0.7500 0.7500 1
Mo1 0.5000 0.5000 0.5000 1
F1 0.2736 0.2736 0.7264 1
F2 0.2736 0.7264 0.2736 1
F3 0.2736 0.7264 0.7264 1
F4 0.7264 0.2736 0.2736 1
F5 0.7264 0.2736 0.7264 1
F6 0.7264 0.7264 0.2736 1
# V (Å³/atom): 18.13
# SG: Fm-3m
# Magnetic moment (μB/f.u.): 3.0
# ΔE_f (raw) (eV/atom): -2.138
# Uncorrected energy (eV/cell): -51.10

***

2.
# GGA-PBEsol Cu2PSe, relaxed
data_Cu2PSe
_chemical_formula_sum 'Cu4 P2 Se2'
_space_group_name_H-M_alt 'P 1'
_space_group_IT_number 1
_cell_length_a 3.3373
_cell_length_b 3.3940
_cell_length_c 10.4991
_cell_angle_alpha 90.00
_cell_angle_beta 90.00
_cell_angle_gamma 90.00
loop_
_space_group_symop_operation_xyz
'x,y,z'
loop_
_atom_site_label
_atom_site_fract_x
_atom_site_fract_y
_atom_site_fract_z
_atom_site_occupancy
Cu1 0.0000 0.0000 0.0000 1
Cu2 0.0000 0.5000 0.1954 1
Cu3 0.5000 0.0000 0.6954 1
Cu4 0.5000 0.5000 0.5000 1
P1 0.0000 0.5000 0.6556 1
P2 0.5000 0.0000 0.1556 1
Se1 0.0000 0.0000 0.3829 1
Se2 0.5000 0.5000 0.8829 1
# V (Å³/atom): 14.86
# SG: Imm2
# Magnetic moment (μB/f.u.): 0.0
# ΔE_f (raw) (eV/atom): 0.165
# Uncorrected energy (eV/cell): -35.30

***

Copy entry 1 word for word.
# GGA-PBEsol KTl2MoF6, relaxed
data_KTl2MoF6
_chemical_formula_sum 'K1 Tl2 Mo1 F6'
_space_group_name_H-M_alt 'P 1'
_space_group_IT_number 1
_cell_length_a 6.3529
_cell_length_b 6.3529
_cell_length_c 6.3529
_cell_angle_alpha 60.00
_cell_angle_beta 60.00
_cell_angle_gamma 60.00
loop_
_space_group_symop_operation_xyz
'x,y,z'
loop_
_atom_site_label
_atom_site_fract_x
_atom_site_fract_y
_atom_site_fract_z
_atom_site_occupancy
K1 0.0000 0.0000 0.0000 1
Tl1 0.2500 0.2500 0.2500 1
Tl2 0.7500 0.7500 0.7500 1
Mo1 0.5000 0.5000 0.5000 1
F1 0.2736 0.2736 0.7264 1
F2 0.2736 0.7264 0.2736 1
F3 0.2736 0.7264 0.7264 1
F4 0.7264 0.2736 0.2736 1
F5 0.7264 0.2736 0.7264 1
F6 0.7264 0.7264 0.2736 1
# V (Å³/atom): 18.13
# SG: Fm-3m
# Magnetic moment (μB/f.u.): 3.0
# ΔE_f (raw) (eV/atom): -2.138
# Uncorrected energy (eV/cell): -51.10

***

What is the formula in the second record? Cu2PSe

***

Which value of uncorrected energy does entry 1 give? -51.10 eV/cell

***

Look up the uncorrected energy of the first one. -51.10 eV/cell